14
Lattice="6.651 0.000 -0.057 0.000 6.968 0.000 -2.682 0.000 8.684" Properties=species:S:1:pos:R:3 comment="KErSiSe4, relaxed, DFT PBE" e_form_raw_mev_per_atom=-1204.7 pbc="T T T"
K 2.457 5.226 8.122
K 1.512 1.742 0.505
Er 3.936 5.226 3.855
Er 0.033 1.742 4.772
Si 0.613 5.226 2.859
Si 3.357 1.742 5.768
Se -1.860 3.510 6.163
Se 5.829 0.026 2.464
Se 5.829 3.458 2.464
Se -1.860 6.942 6.163
Se 2.371 5.226 1.436
Se 1.598 1.742 7.191
Se 1.324 5.226 5.012
Se 2.645 1.742 3.615

---

4
Lattice="2.923 0.000 0.000 0.000 2.923 0.000 0.000 0.000 7.354" Properties=species:S:1:pos:R:3 comment="YBeOs2, relaxed, DFT PBE" delta_e_f_ev_per_atom=0.098 pbc="T T T"
Y 0.000 0.000 3.790
Be 1.461 1.461 5.909
Os 0.000 0.000 7.202
Os 1.461 1.461 1.485